[1]
Entry from the Alexandria database: an optimized crystal structure of CaCd2Sn2 (PBE).

a = 8.2981 Å, b = 8.2981 Å, c = 3.9067 Å
α = 90.00°, β = 90.00°, γ = 90.00°
Positions (direct):
Ca 0.0000 0.0000 0.0000
Ca 0.5000 0.5000 0.0000
Cd 0.1232 0.3768 0.0000
Cd 0.3768 0.8768 0.0000
Cd 0.6232 0.1232 0.0000
Cd 0.8768 0.6232 0.0000
Sn 0.1781 0.6781 0.5000
Sn 0.3219 0.1781 0.5000
Sn 0.6781 0.8219 0.5000
Sn 0.8219 0.3219 0.5000

Output
- Symmetry: No. 127
- Total DFT energy (no corrections): -25.45 eV for the cell shown
- Energy relative to the elements: -17.13 kJ per mole of atoms



[2]
Entry from the Alexandria database: an optimized crystal structure of SrLiPb2 (PBE).

a = 7.0515 Å, b = 9.5295 Å, c = 3.5637 Å
α = 90.00°, β = 90.00°, γ = 90.00°
Positions (direct):
Sr 0.0000 0.0000 0.0000
Sr 0.5000 0.5000 0.0000
Li 0.0000 0.5000 0.0000
Li 0.5000 0.0000 0.0000
Pb 0.2500 0.2500 0.5000
Pb 0.2500 0.7500 0.5000
Pb 0.7500 0.2500 0.5000
Pb 0.7500 0.7500 0.5000

Output
- Symmetry: No. 65
- Total DFT energy (no corrections): -24.43 eV for the cell shown
- Energy relative to the elements: -29.04 kJ per mole of atoms



[3]
Entry from the Alexandria database: an optimized crystal structure of Li2Zr2MnSe6 (PBE).

a = 6.6718 Å, b = 6.6718 Å, c = 6.8582 Å
α = 99.18°, β = 99.18°, γ = 120.68°
Positions (direct):
Li 0.1690 0.8310 0.0000
Li 0.8310 0.1690 0.0000
Zr 0.3342 0.6658 0.5000
Zr 0.6658 0.3342 0.5000
Mn 0.0000 0.0000 0.5000
Se 0.0787 0.4157 0.7416
Se 0.2489 0.2489 0.2604
Se 0.4157 0.0787 0.7416
Se 0.5843 0.9213 0.2584
Se 0.7511 0.7511 0.7396
Se 0.9213 0.5843 0.2584

Output
- Symmetry: No. 12
- Total DFT energy (no corrections): -63.63 eV for the cell shown
- Formation energy (no corrections): -1148 meV per atom